! DyAlNO (GGA-PBE, optimized geometry); values from VASP
! Total moment, μB/f.u.: 0.0
&SYSTEM
  ibrav = 0, nat = 8, ntyp = 4
/
ATOMIC_SPECIES
Dy 162.50 Dy.upf
Al 26.98 Al.upf
N 14.01 N.upf
O 16.00 O.upf
CELL_PARAMETERS angstrom
4.5530 0.0000 0.0000
0.0000 4.5530 0.0000
0.0000 0.0000 5.0058
ATOMIC_POSITIONS angstrom
Dy 1.1383 3.4148 0.0000
Dy 3.4148 1.1383 0.0000
Al 1.1383 1.1383 2.3539
Al 3.4148 3.4148 2.6519
N 1.1383 1.1383 0.5124
N 3.4148 3.4148 4.4934
O 1.1383 3.4148 2.5029
O 3.4148 1.1383 2.5029

***

! La3InCo (GGA-PBE, optimized geometry); values from VASP
! Total moment, μB/f.u.: 0.0
&SYSTEM
  ibrav = 0, nat = 10, ntyp = 3
/
ATOMIC_SPECIES
La 138.91 La.upf
In 114.82 In.upf
Co 58.93 Co.upf
CELL_PARAMETERS angstrom
3.7696 2.1764 6.1172
-3.7696 2.1764 6.1172
0.0000 -4.3528 6.1172
ATOMIC_POSITIONS angstrom
La -2.0221 0.8505 7.6464
La -1.7476 -1.3259 10.7050
La 0.2745 -2.1764 7.6464
La -0.2745 2.1764 10.7050
La 1.7476 1.3259 7.6465
La 2.0221 -0.8505 10.7050
In 0.0000 0.0000 4.5879
In 0.0000 0.0000 13.7636
Co 0.0000 0.0000 0.0000
Co 0.0000 0.0000 9.1757

***

| no. | E_tot (Ha/atom) |
| --- | --- |
| 1 | -0.256 |
| 2 | -0.192 |